1.
Density functional theory data (PBE-GGA) for a geometry-optimized K2CrI structure.

Cell and atoms, written as POSCAR:
```
K2CrI
1.0
8.7239 0.0000 0.0000
0.0000 8.7239 0.0000
0.0000 0.0000 8.7239
K Cr I
8 4 4
Direct
0.2500 0.2500 0.2500 K
0.2500 0.2500 0.7500 K
0.2500 0.7500 0.2500 K
0.2500 0.7500 0.7500 K
0.7500 0.2500 0.2500 K
0.7500 0.2500 0.7500 K
0.7500 0.7500 0.2500 K
0.7500 0.7500 0.7500 K
0.0000 0.0000 0.0000 Cr
0.0000 0.5000 0.5000 Cr
0.5000 0.0000 0.5000 Cr
0.5000 0.5000 0.0000 Cr
0.0000 0.0000 0.5000 I
0.0000 0.5000 0.0000 I
0.5000 0.0000 0.0000 I
0.5000 0.5000 0.5000 I
```

Properties
The uncorrected formation energy is 0.06 eV/atom.

***

2.
Density functional theory data (PBE-GGA) for a geometry-optimized Tb2Pm5HoTh structure.

Cell and atoms, written as POSCAR:
```
Tb2Pm5HoTh
1.0
2.8266 -10.2508 0.0000
2.8266 10.2508 0.0000
0.0000 0.0000 10.5769
Tb Pm Ho Th
4 10 2 2
Direct
0.1129 0.8871 0.5000 Tb
0.1153 0.8847 0.0759 Tb
0.8847 0.1153 0.5759 Tb
0.8871 0.1129 0.0000 Tb
0.0143 0.9857 0.7821 Pm
0.2762 0.7238 0.0764 Pm
0.2936 0.7064 0.4680 Pm
0.3861 0.6139 0.7889 Pm
0.4814 0.5186 0.5082 Pm
0.5186 0.4814 0.0082 Pm
0.6139 0.3861 0.2889 Pm
0.7064 0.2936 0.9680 Pm
0.7238 0.2762 0.5764 Pm
0.9857 0.0143 0.2821 Pm
0.4055 0.5945 0.2220 Ho
0.5945 0.4055 0.7220 Ho
0.1988 0.8012 0.7752 Th
0.8012 0.1988 0.2752 Th
```

***

Number 1: energy -3.286 eV/atom. Number 2: energy -4.848 eV/atom.